Entry from the Alexandria database: an optimized crystal structure of DyTmScCu (PBE-GGA).

The structure belongs to space group F-43m (No. 216); the cell edges are 7.245, 7.245 and 7.245 Å and the angles 90.00°, 90.00° and 90.00°. The distinct sites, in fractional coordinates, are Dy at (0.000, 0.000, 0.000), Tm at (0.000, 0.000, 0.500), Sc at (0.250, 0.250, 0.750) and Cu at (0.250, 0.250, 0.250).

For the volume, the calculation gives 380.3 Å³/cell. Its formation energy is 0.119 eV per atom.

---

Entry from the Alexandria database: an optimized crystal structure of Pu3Cd2Pt3 (PBE-GGA).

The structure belongs to space group P6_3/mcm (No. 193); the cell edges are 8.4849, 8.4849 and 5.7729 Å and the angles 90.00°, 90.00° and 120.00°. The distinct sites, in fractional coordinates, are Pu at (0.0000, 0.2705, 0.2500), Cd at (0.3333, 0.6667, 0.0000) and Pt at (0.0000, 0.3857, 0.7500).

For the volume, the calculation gives 359.9 Å³/cell. Its formation energy is -0.563 eV per atom.

---

Entry from the Alexandria database: an optimized crystal structure of AgI (PBE-GGA).

The structure belongs to space group Pm-3n (No. 223); the cell edges are 8.157, 8.157 and 8.157 Å and the angles 90.00°, 90.00° and 90.00°. The distinct sites, in fractional coordinates, are Ag at (0.000, 0.250, 0.500) and I at (0.000, 0.500, 0.250).

For the volume, the calculation gives 542.7 Å³/cell. The value obtained for the uncorrected formation energy is -0.215 eV/atom.

---

Entry from the Alexandria database: an optimized crystal structure of CoSb2Pb2 (PBE-GGA).

The structure belongs to space group P4/mbm (No. 127); the cell edges are 6.641, 6.641 and 5.918 Å and the angles 90.00°, 90.00° and 90.00°. The distinct sites, in fractional coordinates, are Co at (0.000, 0.000, 0.000), Sb at (0.155, 0.345, 0.000) and Pb at (0.186, 0.686, 0.500).

For the volume, the calculation gives 261.0 Å³/cell. The value obtained for the uncorrected formation energy is 0.130 eV/atom.

---

Entry from the Alexandria database: an optimized crystal structure of BC5 (PBE-GGA).

The structure belongs to space group Cm (No. 8); the cell edges are 8.611, 2.523 and 7.388 Å and the angles 90.00°, 115.73° and 90.00°. The distinct sites, in fractional coordinates, are B at (0.000, 0.000, 0.000), B at (0.166, 0.500, 0.338), C at (0.002, 0.500, 0.855), C at (0.168, 0.500, 0.826), C at (0.170, 0.000, 0.703), C at (0.172, 0.000, 0.197), C at (0.330, 0.500, 0.038), C at (0.332, 0.000, 0.162), C at (0.336, 0.000, 0.662), C at (0.339, 0.500, 0.544), C at (0.495, 0.000, 0.374) and C at (0.498, 0.500, 0.497).

For the volume, the calculation gives 144.6 Å³/cell. Its formation energy is 0.261 eV per atom. For the polymorph energy (0 for the lowest one), the calculation gives 52 meV per atom.

---

Entry from the Alexandria database: an optimized crystal structure of LiMgTiHg (PBE-GGA).

The structure belongs to space group F-43m (No. 216); the cell edges are 6.627, 6.627 and 6.627 Å and the angles 90.00°, 90.00° and 90.00°. The distinct sites, in fractional coordinates, are Li at (0.000, 0.000, 0.000), Mg at (0.250, 0.250, 0.250), Ti at (0.250, 0.250, 0.750) and Hg at (0.000, 0.000, 0.500).

For the volume, the calculation gives 291.0 Å³/cell. Its formation energy is -0.008 eV per atom.

---

Entry from the Alexandria database: an optimized crystal structure of LiAlC (PBE-GGA).

The structure belongs to space group P-6m2 (No. 187); the cell edges are 3.3734, 3.3734 and 3.9826 Å and the angles 90.00°, 90.00° and 120.00°. The distinct sites, in fractional coordinates, are Li at (0.0000, 0.0000, 0.0000), Al at (0.3333, 0.6667, 0.5000) and C at (0.6667, 0.3333, 0.5000).

For the volume, the calculation gives 39.3 Å³/cell. Its formation energy is 0.134 eV per atom.

---

Entry from the Alexandria database: an optimized crystal structure of Ba2ReTc (PBE-GGA).

The structure belongs to space group P4/mmm (No. 123); the cell edges are 3.332, 3.332 and 9.699 Å and the angles 90.00°, 90.00° and 90.00°. The distinct sites, in fractional coordinates, are Ba at (0.000, 0.000, 0.247), Re at (0.500, 0.500, 0.000) and Tc at (0.500, 0.500, 0.500).

For the volume, the calculation gives 107.7 Å³/cell. Its formation energy is 1.595 eV per atom. For the polymorph energy (0 for the lowest one), the calculation gives 1219 meV per atom.

---

Entry from the Alexandria database: an optimized crystal structure of Lu2PaCd (PBE-GGA).

The structure belongs to space group R-3m (No. 166, hexagonal axes); the cell edges are 3.2320, 3.2320 and 35.0609 Å and the angles 90.00°, 90.00° and 120.00°. The distinct sites, in fractional coordinates, are Lu at (0.0000, 0.0000, 0.0911), Pa at (0.0000, 0.0000, 0.0000) and Cd at (0.0000, 0.0000, 0.5000).

For the volume, the calculation gives 317.2 Å³/cell. Its formation energy is 0.211 eV per atom. For the polymorph energy (0 for the lowest one), the calculation gives 283 meV per atom.

---

Entry from the Alexandria database: an optimized crystal structure of Mn2VInPd (PBE-GGA).

The structure belongs to space group P4/mmm (No. 123); the cell edges are 4.688, 4.688 and 4.753 Å and the angles 90.00°, 90.00° and 90.00°. The distinct sites, in fractional coordinates, are Mn at (0.000, 0.500, 0.000), V at (0.000, 0.000, 0.500), In at (0.500, 0.500, 0.000) and Pd at (0.500, 0.500, 0.500).

For the volume, the calculation gives 104.5 Å³/cell. Its formation energy is 2.097 eV per atom.

---

Entry from the Alexandria database: an optimized crystal structure of KHfZnSb3 (PBE-GGA).

The structure belongs to space group P2_1/m (No. 11); the cell edges are 9.993, 3.982 and 10.143 Å and the angles 90.00°, 114.03° and 90.00°. The distinct sites, in fractional coordinates, are K at (0.029, 0.250, 0.252), Hf at (0.487, 0.250, 0.153), Zn at (0.496, 0.750, 0.403), Sb at (0.269, 0.750, 0.143), Sb at (0.294, 0.250, 0.843) and Sb at (0.301, 0.750, 0.542).

For the volume, the calculation gives 368.6 Å³/cell. The value obtained for the uncorrected formation energy is -0.278 eV/atom.

---

Entry from the Alexandria database: an optimized crystal structure of AcLa5Tb4 (PBE-GGA).

The structure belongs to space group Immm (No. 71); the cell edges are 5.351, 11.004 and 12.468 Å and the angles 90.00°, 90.00° and 90.00°. The distinct sites, in fractional coordinates, are Ac at (0.000, 0.000, 0.000), La at (0.000, 0.000, 0.500), La at (0.000, 0.318, 0.343), Tb at (0.000, 0.000, 0.267) and Tb at (0.000, 0.329, 0.000).

For the volume, the calculation gives 734.1 Å³/cell. Its formation energy is 0.247 eV per atom. For the polymorph energy (0 for the lowest one), the calculation gives 220 meV per atom.